(1)
Computed, not measured: crystalline ZnSn2H12O6F6 at its relaxed geometry at the PBE level of DFT.

Structure (CIF):
```
data_ZnSn2H12O6F6
_chemical_formula_sum 'Zn1 Sn2 H12 O6 F6'
_cell_length_a 6.838
_cell_length_b 7.086
_cell_length_c 7.134
_cell_angle_alpha 75.44
_cell_angle_beta 78.53
_cell_angle_gamma 71.88
_symmetry_space_group_name_H-M 'P -1'
_symmetry_Int_Tables_number 2
loop_
_symmetry_equiv_pos_as_xyz
'x,y,z'
'-x,-y,-z'
loop_
_atom_site_label
_atom_site_type_symbol
_atom_site_fract_x
_atom_site_fract_y
_atom_site_fract_z
Zn1 Zn 0.000 0.000 0.000
Sn1 Sn 0.338 0.320 0.357
H1 H 0.084 0.799 0.360
H2 H 0.100 0.749 0.743
H3 H 0.217 0.635 0.928
H4 H 0.243 0.254 0.942
H5 H 0.265 0.904 0.265
H6 H 0.351 0.085 0.813
O1 O 0.173 0.834 0.236
O2 O 0.179 0.769 0.836
O3 O 0.215 0.167 0.867
F1 F 0.033 0.283 0.420
F2 F 0.287 0.405 0.062
F3 F 0.427 0.018 0.310
```

energy above the lowest structure with this stoichiometry = 0.000 eV per atom
final energy = -4.8381 eV per atom
mass density = 2.8 g cm⁻³

(2)
Computed, not measured: crystalline CsGa2GeI8 at its relaxed geometry at the PBE level of DFT.

Structure (CIF):
```
data_CsGa2GeI8
_chemical_formula_sum 'Cs1 Ga2 Ge1 I8'
_cell_length_a 7.6507
_cell_length_b 7.6507
_cell_length_c 10.7262
_cell_angle_alpha 90.00
_cell_angle_beta 90.00
_cell_angle_gamma 120.00
_symmetry_space_group_name_H-M 'P -3'
_symmetry_Int_Tables_number 147
loop_
_symmetry_equiv_pos_as_xyz
'x,y,z'
'-x,-y,-z'
'-y,x-y,z'
'y,-x+y,-z'
'-x+y,-x,z'
'x-y,x,-z'
loop_
_atom_site_label
_atom_site_type_symbol
_atom_site_fract_x
_atom_site_fract_y
_atom_site_fract_z
Cs1 Cs 0.0000 0.0000 0.0000
Ga1 Ga 0.3333 0.6667 0.7508
Ge1 Ge 0.0000 0.0000 0.5000
I1 I 0.0090 0.3233 0.6704
I2 I 0.3333 0.6667 0.9959
```

final energy = -2.5512 eV per atom
mass density = 4.2 g cm⁻³
energy relative to the elements, uncorrected = -0.557 eV per atom

(3)
Computed, not measured: crystalline Li6Cd2Pd3 at its relaxed geometry at the PBE level of DFT.

Structure (CIF):
```
data_Li6Cd2Pd3
_chemical_formula_sum 'Li12 Cd4 Pd6'
_cell_length_a 8.111
_cell_length_b 15.253
_cell_length_c 2.971
_cell_angle_alpha 90.00
_cell_angle_beta 90.00
_cell_angle_gamma 90.00
_symmetry_space_group_name_H-M 'C m m m'
_symmetry_Int_Tables_number 65
_symmetry_space_group_name_Hall '-C 2 2'
loop_
_atom_site_label
_atom_site_type_symbol
_atom_site_fract_x
_atom_site_fract_y
_atom_site_fract_z
Li1 Li 0.000 0.096 0.000
Li2 Li 0.185 0.333 0.000
Cd1 Cd 0.221 0.000 0.500
Pd1 Pd 0.000 0.226 0.500
Pd2 Pd 0.000 0.500 0.000
```

final energy = -2.9066 eV per atom
mass density = 5.3 g cm⁻³
E_form = -280.0 meV per atom

(4)
Computed, not measured: crystalline YIn4Cl7 at its relaxed geometry at the PBE level of DFT.

Structure (CIF):
```
data_YIn4Cl7
_chemical_formula_sum 'Y2 In8 Cl14'
_cell_length_a 21.122
_cell_length_b 5.251
_cell_length_c 7.563
_cell_angle_alpha 90.00
_cell_angle_beta 107.76
_cell_angle_gamma 90.00
_symmetry_space_group_name_H-M 'C 1 2/m 1'
_symmetry_Int_Tables_number 12
loop_
_symmetry_equiv_pos_as_xyz
'x,y,z'
'-x,-y,-z'
'-x,y,-z'
'x,-y,z'
'x+1/2,y+1/2,z'
'-x+1/2,-y+1/2,-z'
'-x+1/2,y+1/2,-z'
'x+1/2,-y+1/2,z'
loop_
_atom_site_label
_atom_site_type_symbol
_atom_site_fract_x
_atom_site_fract_y
_atom_site_fract_z
Y1 Y 0.000 0.000 0.000
In1 In 0.085 0.500 0.628
In2 In 0.196 0.500 0.246
Cl1 Cl 0.000 0.500 0.000
Cl2 Cl 0.081 0.000 0.344
Cl3 Cl 0.106 0.000 0.883
Cl4 Cl 0.221 0.500 0.653
```

final energy = -3.8238 eV per atom
mass density = 3.3 g cm⁻³
energy relative to the elements, uncorrected = -1.295 eV per atom